Record 1
A geometry-optimized Cs3Li2Hg13 structure, computed with GGA-PBE.

Results
Crystal system = hexagonal
M_tot = 0.00 μB per formula unit
DFT total energy = -0.78 eV/atom

Unit cell a=6.7931 b=6.7931 c=14.1969 alpha=90.00 beta=90.00 gamma=120.00
Space group P6/mmm (No. 191)
Asymmetric unit:
Cs1 0.0000 0.0000 0.0000 [1 per cell]
Cs2 0.0000 0.0000 0.3309 [2 per cell]
Li1 0.3333 0.6667 0.0000 [2 per cell]
Hg1 0.0000 0.5000 0.1417 [6 per cell]
Hg2 0.0000 0.5000 0.5000 [3 per cell]
Hg3 0.3333 0.6667 0.3191 [4 per cell]

---

Record 2
A geometry-optimized Cs2LiHg2 structure, computed with GGA-PBE.

Results
Crystal system = tetragonal
M_tot = 0.00 μB per formula unit
DFT total energy = -0.96 eV/atom

Unit cell a=8.6685 b=8.6685 c=5.8685 alpha=90.00 beta=90.00 gamma=90.00
Space group P4/mbm (No. 127)
Asymmetric unit:
Cs1 0.1748 0.3252 0.0000 [4 per cell]
Li1 0.0000 0.0000 0.5000 [2 per cell]
Hg1 0.1332 0.6332 0.5000 [4 per cell]

---

Record 3
A geometry-optimized CsLiHg structure, computed with GGA-PBE.

Results
Crystal system = trigonal
M_tot = 0.00 μB per formula unit
DFT total energy = -1.13 eV/atom

Unit cell a=4.9547 b=4.9547 c=5.8337 alpha=90.00 beta=90.00 gamma=120.00
Space group P3m1 (No. 156)
Asymmetric unit:
Cs1 0.0000 0.0000 0.0000 [1 per cell]
Li1 0.6667 0.3333 0.4999 [1 per cell]
Hg1 0.3333 0.6667 0.5009 [1 per cell]

---

Record 4
A geometry-optimized CsLi2Hg2 structure, computed with GGA-PBE.

Results
Crystal system = tetragonal
M_tot = 0.00 μB per formula unit
DFT total energy = -1.21 eV/atom

Unit cell a=8.7354 b=8.7354 c=3.6388 alpha=90.00 beta=90.00 gamma=90.00
Space group P4/mbm (No. 127)
Asymmetric unit:
Cs1 0.0000 0.0000 0.0000 [2 per cell]
Li1 0.1246 0.3754 0.0000 [4 per cell]
Hg1 0.1398 0.6398 0.5000 [4 per cell]

---

Record 5
A geometry-optimized Cs12LiHg6 structure, computed with GGA-PBE.

Results
Crystal system = cubic
M_tot = 0.00 μB per formula unit
DFT total energy = -0.87 eV/atom

Unit cell a=13.6541 b=13.6541 c=13.6541 alpha=90.00 beta=90.00 gamma=90.00
Space group Im-3 (No. 204)
Asymmetric unit:
Cs1 0.0000 0.3013 0.1830 [24 per cell]
Li1 0.0000 0.0000 0.0000 [2 per cell]
Hg1 0.0000 0.1113 0.5000 [12 per cell]

---

Record 6
A geometry-optimized CsLi2HgN structure, computed with GGA-PBE.

Results
Crystal system = tetragonal
M_tot = 1.85 μB per formula unit
DFT total energy = -1.80 eV/atom

Unit cell a=5.1075 b=5.1075 c=7.5106 alpha=90.00 beta=90.00 gamma=90.00
Space group P4/mmm (No. 123)
Asymmetric unit:
Cs1 0.0000 0.0000 0.0000 [1 per cell]
Li1 0.0000 0.5000 0.5000 [2 per cell]
Hg1 0.0000 0.0000 0.5000 [1 per cell]
N1 0.5000 0.5000 0.0000 [1 per cell]

---

Record 7
A geometry-optimized CsNaLiHg2 structure, computed with GGA-PBE.

Results
Crystal system = tetragonal
M_tot = 0.00 μB per formula unit
DFT total energy = -1.06 eV/atom

Unit cell a=5.5153 b=5.5153 c=5.7466 alpha=90.00 beta=90.00 gamma=90.00
Space group P4/mmm (No. 123)
Asymmetric unit:
Cs1 0.0000 0.0000 0.0000 [1 per cell]
Na1 0.5000 0.5000 0.0000 [1 per cell]
Li1 0.5000 0.5000 0.5000 [1 per cell]
Hg1 0.0000 0.5000 0.5000 [2 per cell]

---

Record 8
A geometry-optimized CsNa2LiHg structure, computed with GGA-PBE.

Results
Crystal system = tetragonal
M_tot = 0.00 μB per formula unit
DFT total energy = -1.18 eV/atom

Unit cell a=6.1271 b=6.1271 c=5.5228 alpha=90.00 beta=90.00 gamma=90.00
Space group P4/mmm (No. 123)
Asymmetric unit:
Cs1 0.0000 0.0000 0.0000 [1 per cell]
Na1 0.0000 0.5000 0.5000 [2 per cell]
Li1 0.5000 0.5000 0.0000 [1 per cell]
Hg1 0.5000 0.5000 0.5000 [1 per cell]

---

Record 9
A geometry-optimized Cs2NaLiHg structure, computed with GGA-PBE.

Results
Crystal system = tetragonal
M_tot = 0.00 μB per formula unit
DFT total energy = -1.05 eV/atom

Unit cell a=7.3635 b=7.3635 c=5.4555 alpha=90.00 beta=90.00 gamma=90.00
Space group P4/mmm (No. 123)
Asymmetric unit:
Cs1 0.0000 0.5000 0.0000 [2 per cell]
Na1 0.0000 0.0000 0.5000 [1 per cell]
Li1 0.5000 0.5000 0.5000 [1 per cell]
Hg1 0.5000 0.5000 0.0000 [1 per cell]

---

Record 10
A geometry-optimized CsNa2LiHg structure, computed with GGA-PBE.

Results
Crystal system = tetragonal
M_tot = 0.00 μB per formula unit
DFT total energy = -1.16 eV/atom

Unit cell a=6.0263 b=6.0263 c=5.5154 alpha=90.00 beta=90.00 gamma=90.00
Space group P4/mmm (No. 123)
Asymmetric unit:
Cs1 0.0000 0.0000 0.0000 [1 per cell]
Na1 0.0000 0.5000 0.5000 [2 per cell]
Li1 0.5000 0.5000 0.5000 [1 per cell]
Hg1 0.5000 0.5000 0.0000 [1 per cell]

---

Record 11
A geometry-optimized CsLiNiHg2 structure, computed with GGA-PBE.

Results
Crystal system = tetragonal
M_tot = 0.00 μB per formula unit
DFT total energy = -1.84 eV/atom

Unit cell a=5.2681 b=5.2681 c=5.0898 alpha=90.00 beta=90.00 gamma=90.00
Space group P4/mmm (No. 123)
Asymmetric unit:
Cs1 0.0000 0.0000 0.0000 [1 per cell]
Li1 0.5000 0.5000 0.0000 [1 per cell]
Ni1 0.5000 0.5000 0.5000 [1 per cell]
Hg1 0.0000 0.5000 0.5000 [2 per cell]

---

Record 12
A geometry-optimized CsLiHgO2 structure, computed with GGA-PBE.

Results
Crystal system = orthorhombic
M_tot = 0.00 μB per formula unit
DFT total energy = -3.69 eV/atom

Unit cell a=5.8243 b=12.6626 c=5.5213 alpha=90.00 beta=90.00 gamma=90.00
Space group Cmme (No. 67)
Asymmetric unit:
Cs1 0.0000 0.2500 0.2037 [4 per cell]
Li1 0.2500 0.0000 0.0000 [4 per cell]
Hg1 0.0000 0.0000 0.5000 [4 per cell]
O1 0.0000 0.0864 0.8105 [8 per cell]

---

Record 13
A geometry-optimized Cs2LiHgP structure, computed with GGA-PBE.

Results
Crystal system = tetragonal
M_tot = 0.00 μB per formula unit
DFT total energy = -2.07 eV/atom

Unit cell a=7.0324 b=7.0324 c=4.7541 alpha=90.00 beta=90.00 gamma=90.00
Space group P4/mmm (No. 123)
Asymmetric unit:
Cs1 0.0000 0.5000 0.0000 [2 per cell]
Li1 0.0000 0.0000 0.5000 [1 per cell]
Hg1 0.5000 0.5000 0.5000 [1 per cell]
P1 0.0000 0.0000 0.0000 [1 per cell]

---

Record 14
A geometry-optimized CsLiHg2Pb structure, computed with GGA-PBE.

Results
Crystal system = tetragonal
M_tot = 0.00 μB per formula unit
DFT total energy = -1.51 eV/atom

Unit cell a=5.5539 b=5.5539 c=5.3702 alpha=90.00 beta=90.00 gamma=90.00
Space group P4/mmm (No. 123)
Asymmetric unit:
Cs1 0.0000 0.0000 0.0000 [1 per cell]
Li1 0.5000 0.5000 0.5000 [1 per cell]
Hg1 0.0000 0.5000 0.5000 [2 per cell]
Pb1 0.5000 0.5000 0.0000 [1 per cell]

---

Record 15
A geometry-optimized CsLi2HgPb structure, computed with GGA-PBE.

Results
Crystal system = tetragonal
M_tot = 0.00 μB per formula unit
DFT total energy = -1.87 eV/atom

Unit cell a=5.5027 b=5.5027 c=6.1790 alpha=90.00 beta=90.00 gamma=90.00
Space group P4/mmm (No. 123)
Asymmetric unit:
Cs1 0.0000 0.0000 0.0000 [1 per cell]
Li1 0.0000 0.5000 0.5000 [2 per cell]
Hg1 0.5000 0.5000 0.0000 [1 per cell]
Pb1 0.5000 0.5000 0.5000 [1 per cell]

---

Record 16
A geometry-optimized CsLiHgPb2 structure, computed with GGA-PBE.

Results
Crystal system = tetragonal
M_tot = 0.00 μB per formula unit
DFT total energy = -2.10 eV/atom

Unit cell a=5.4067 b=5.4067 c=5.7926 alpha=90.00 beta=90.00 gamma=90.00
Space group P4/mmm (No. 123)
Asymmetric unit:
Cs1 0.0000 0.0000 0.0000 [1 per cell]
Li1 0.5000 0.5000 0.5000 [1 per cell]
Hg1 0.5000 0.5000 0.0000 [1 per cell]
Pb1 0.0000 0.5000 0.5000 [2 per cell]

---

Record 17
A geometry-optimized CsLiHg2Pb structure, computed with GGA-PBE.

Results
Crystal system = tetragonal
M_tot = 0.00 μB per formula unit
DFT total energy = -1.54 eV/atom

Unit cell a=6.1457 b=6.1457 c=5.4401 alpha=90.00 beta=90.00 gamma=90.00
Space group P4/mmm (No. 123)
Asymmetric unit:
Cs1 0.0000 0.0000 0.0000 [1 per cell]
Li1 0.5000 0.5000 0.0000 [1 per cell]
Hg1 0.0000 0.5000 0.5000 [2 per cell]
Pb1 0.5000 0.5000 0.5000 [1 per cell]

---

Record 18
A geometry-optimized CsLiHg2Pd structure, computed with GGA-PBE.

Results
Crystal system = tetragonal
M_tot = 0.00 μB per formula unit
DFT total energy = -1.95 eV/atom

Unit cell a=5.5007 b=5.5007 c=5.0202 alpha=90.00 beta=90.00 gamma=90.00
Space group P4/mmm (No. 123)
Asymmetric unit:
Cs1 0.0000 0.0000 0.0000 [1 per cell]
Li1 0.5000 0.5000 0.0000 [1 per cell]
Hg1 0.0000 0.5000 0.5000 [2 per cell]
Pd1 0.5000 0.5000 0.5000 [1 per cell]

---

Record 19
A geometry-optimized CsLi2HgPt structure, computed with GGA-PBE.

Results
Crystal system = tetragonal
M_tot = 0.00 μB per formula unit
DFT total energy = -2.41 eV/atom

Unit cell a=5.1203 b=5.1203 c=5.4420 alpha=90.00 beta=90.00 gamma=90.00
Space group P4/mmm (No. 123)
Asymmetric unit:
Cs1 0.0000 0.0000 0.0000 [1 per cell]
Li1 0.0000 0.5000 0.5000 [2 per cell]
Hg1 0.5000 0.5000 0.0000 [1 per cell]
Pt1 0.5000 0.5000 0.5000 [1 per cell]

---

Record 20
A geometry-optimized CsRb2LiHg structure, computed with GGA-PBE.

Results
Crystal system = tetragonal
M_tot = 0.00 μB per formula unit
DFT total energy = -1.01 eV/atom

Unit cell a=7.2473 b=7.2473 c=5.7335 alpha=90.00 beta=90.00 gamma=90.00
Space group P4/mmm (No. 123)
Asymmetric unit:
Cs1 0.0000 0.0000 0.0000 [1 per cell]
Rb1 0.0000 0.5000 0.5000 [2 per cell]
Li1 0.5000 0.5000 0.0000 [1 per cell]
Hg1 0.5000 0.5000 0.5000 [1 per cell]